Version A
# LiHf2Br

A geometry-optimized LiHf2Br structure (PBE, Alexandria via LeMat-Bulk).

Results
The volume is 357.1 Å³/cell.

Cell and atoms, written as CIF:
```
data_LiHf2Br
_space_group_name_H-M_alt 'I -4 2 d'
_space_group_IT_number 122
_space_group_name_Hall 'I -4 2bw'
_cell_length_a 3.9871
_cell_length_b 3.9871
_cell_length_c 22.4619
_cell_angle_alpha 90.00
_cell_angle_beta 90.00
_cell_angle_gamma 90.00
loop_
_atom_site_label
_atom_site_type_symbol
_atom_site_fract_x
_atom_site_fract_y
_atom_site_fract_z
Li1 Li 0.0000 0.0000 0.0000
Hf1 Hf 0.2469 0.2500 0.6250
Br1 Br 0.0000 0.0000 0.5000
```


Version B
# LiHf2Br

A geometry-optimized LiHf2Br structure (PBE, Alexandria via LeMat-Bulk).

Results
The volume is 313.6 Å³/cell.

Cell and atoms, written as CIF:
```
data_LiHf2Br
_space_group_name_H-M_alt 'F m -3 m'
_space_group_IT_number 225
_space_group_name_Hall '-F 4 2 3'
_cell_length_a 6.7940
_cell_length_b 6.7940
_cell_length_c 6.7940
_cell_angle_alpha 90.00
_cell_angle_beta 90.00
_cell_angle_gamma 90.00
loop_
_atom_site_label
_atom_site_type_symbol
_atom_site_fract_x
_atom_site_fract_y
_atom_site_fract_z
Li1 Li 0.0000 0.0000 0.0000
Hf1 Hf 0.2500 0.2500 0.2500
Br1 Br 0.0000 0.0000 0.5000
```


The calculated energies rank the structures as follows, beginning with the most stable: version A, version B.


Version A
# LiHfSeBr2

A geometry-optimized LiHfSeBr2 structure (PBE, Alexandria via LeMat-Bulk).

Results
The volume is 146.5 Å³/cell.

Cell and atoms, written as CIF:
```
data_LiHfSeBr2
_space_group_name_H-M_alt 'P 4/m m m'
_space_group_IT_number 123
_space_group_name_Hall '-P 4 2'
_cell_length_a 5.3133
_cell_length_b 5.3133
_cell_length_c 5.1892
_cell_angle_alpha 90.00
_cell_angle_beta 90.00
_cell_angle_gamma 90.00
loop_
_atom_site_label
_atom_site_type_symbol
_atom_site_fract_x
_atom_site_fract_y
_atom_site_fract_z
Li1 Li 0.0000 0.0000 0.0000
Hf1 Hf 0.5000 0.5000 0.5000
Se1 Se 0.5000 0.5000 0.0000
Br1 Br 0.0000 0.5000 0.5000
```


Version B
# LiHfSeBr2

A geometry-optimized LiHfSeBr2 structure (PBE, Alexandria via LeMat-Bulk).

Results
The volume is 109.6 Å³/cell.

Cell and atoms, written as CIF:
```
data_LiHfSeBr2
_space_group_name_H-M_alt 'P 4/m m m'
_space_group_IT_number 123
_space_group_name_Hall '-P 4 2'
_cell_length_a 4.6040
_cell_length_b 4.6040
_cell_length_c 5.1687
_cell_angle_alpha 90.00
_cell_angle_beta 90.00
_cell_angle_gamma 90.00
loop_
_atom_site_label
_atom_site_type_symbol
_atom_site_fract_x
_atom_site_fract_y
_atom_site_fract_z
Li1 Li 0.0000 0.0000 0.0000
Hf1 Hf 0.5000 0.5000 0.5000
Se1 Se 0.0000 0.0000 0.5000
Br1 Br 0.0000 0.5000 0.0000
```


The calculated energies rank the structures as follows, beginning with the most stable: version A, version B.


Version A
# HfMg2Br

A geometry-optimized HfMg2Br structure (PBE, Alexandria via LeMat-Bulk).

Results
The volume is 401.7 Å³/cell.

Cell and atoms, written as CIF:
```
data_HfMg2Br
_space_group_name_H-M_alt 'F m -3 m'
_space_group_IT_number 225
_space_group_name_Hall '-F 4 2 3'
_cell_length_a 7.3784
_cell_length_b 7.3784
_cell_length_c 7.3784
_cell_angle_alpha 90.00
_cell_angle_beta 90.00
_cell_angle_gamma 90.00
loop_
_atom_site_label
_atom_site_type_symbol
_atom_site_fract_x
_atom_site_fract_y
_atom_site_fract_z
Hf1 Hf 0.0000 0.0000 0.0000
Mg1 Mg 0.2500 0.2500 0.2500
Br1 Br 0.0000 0.0000 0.5000
```


Version B
# HfMg2Br

A geometry-optimized HfMg2Br structure (PBE, Alexandria via LeMat-Bulk).

Results
The volume is 377.5 Å³/cell.

Cell and atoms, written as CIF:
```
data_HfMg2Br
_space_group_name_H-M_alt 'I -4 2 d'
_space_group_IT_number 122
_space_group_name_Hall 'I -4 2bw'
_cell_length_a 8.0401
_cell_length_b 8.0401
_cell_length_c 5.8397
_cell_angle_alpha 90.00
_cell_angle_beta 90.00
_cell_angle_gamma 90.00
loop_
_atom_site_label
_atom_site_type_symbol
_atom_site_fract_x
_atom_site_fract_y
_atom_site_fract_z
Hf1 Hf 0.0000 0.0000 0.0000
Mg1 Mg 0.2212 0.7500 0.6250
Br1 Br 0.0000 0.0000 0.5000
```


The calculated energies rank the structures as follows, beginning with the most stable: version B, version A.


Version A
# HfMnBr2

A geometry-optimized HfMnBr2 structure (PBE, Alexandria via LeMat-Bulk).

Results
The volume is 293.0 Å³/cell.

Cell and atoms, written as CIF:
```
data_HfMnBr2
_space_group_name_H-M_alt 'R -3 m'
_space_group_IT_number 166
_space_group_name_Hall '-R 3 2"'
_cell_length_a 3.3355
_cell_length_b 3.3355
_cell_length_c 30.4060
_cell_angle_alpha 90.00
_cell_angle_beta 90.00
_cell_angle_gamma 120.00
loop_
_atom_site_label
_atom_site_type_symbol
_atom_site_fract_x
_atom_site_fract_y
_atom_site_fract_z
Hf1 Hf 0.0000 0.0000 0.0000
Mn1 Mn 0.0000 0.0000 0.5000
Br1 Br 0.0000 0.0000 0.3983
```


Version B
# HfMnBr2

A geometry-optimized HfMnBr2 structure (PBE, Alexandria via LeMat-Bulk).

Results
The volume is 412.6 Å³/cell.

Cell and atoms, written as CIF:
```
data_HfMnBr2
_space_group_name_H-M_alt 'I -4 2 d'
_space_group_IT_number 122
_space_group_name_Hall 'I -4 2bw'
_cell_length_a 6.3031
_cell_length_b 6.3031
_cell_length_c 10.3861
_cell_angle_alpha 90.00
_cell_angle_beta 90.00
_cell_angle_gamma 90.00
loop_
_atom_site_label
_atom_site_type_symbol
_atom_site_fract_x
_atom_site_fract_y
_atom_site_fract_z
Hf1 Hf 0.0000 0.0000 0.0000
Mn1 Mn 0.0000 0.0000 0.5000
Br1 Br 0.2216 0.2500 0.6250
```


The calculated energies rank the structures as follows, beginning with the most stable: version A, version B.


Version A
# Hf2MnPdBr

A geometry-optimized Hf2MnPdBr structure (PBE, Alexandria via LeMat-Bulk).

Results
The volume is 131.0 Å³/cell.

Cell and atoms, written as CIF:
```
data_Hf2MnPdBr
_space_group_name_H-M_alt 'P 4/m m m'
_space_group_IT_number 123
_space_group_name_Hall '-P 4 2'
_cell_length_a 5.0478
_cell_length_b 5.0478
_cell_length_c 5.1409
_cell_angle_alpha 90.00
_cell_angle_beta 90.00
_cell_angle_gamma 90.00
loop_
_atom_site_label
_atom_site_type_symbol
_atom_site_fract_x
_atom_site_fract_y
_atom_site_fract_z
Hf1 Hf 0.0000 0.5000 0.0000
Mn1 Mn 0.0000 0.0000 0.5000
Pd1 Pd 0.5000 0.5000 0.0000
Br1 Br 0.5000 0.5000 0.5000
```


Version B
# Hf2MnPdBr

A geometry-optimized Hf2MnPdBr structure (PBE, Alexandria via LeMat-Bulk).

Results
The volume is 103.4 Å³/cell.

Cell and atoms, written as CIF:
```
data_Hf2MnPdBr
_space_group_name_H-M_alt 'P 4/m m m'
_space_group_IT_number 123
_space_group_name_Hall '-P 4 2'
_cell_length_a 4.7964
_cell_length_b 4.7964
_cell_length_c 4.4924
_cell_angle_alpha 90.00
_cell_angle_beta 90.00
_cell_angle_gamma 90.00
loop_
_atom_site_label
_atom_site_type_symbol
_atom_site_fract_x
_atom_site_fract_y
_atom_site_fract_z
Hf1 Hf 0.0000 0.5000 0.0000
Mn1 Mn 0.0000 0.0000 0.0000
Pd1 Pd 0.5000 0.5000 0.5000
Br1 Br 0.0000 0.0000 0.5000
```


The calculated energies rank the structures as follows, beginning with the most stable: version B, version A.


Version A
# HfMnSe2Br

A geometry-optimized HfMnSe2Br structure (PBE, Alexandria via LeMat-Bulk).

Results
The volume is 142.4 Å³/cell.

Cell and atoms, written as CIF:
```
data_HfMnSe2Br
_space_group_name_H-M_alt 'P 4/m m m'
_space_group_IT_number 123
_space_group_name_Hall '-P 4 2'
_cell_length_a 5.1955
_cell_length_b 5.1955
_cell_length_c 5.2767
_cell_angle_alpha 90.00
_cell_angle_beta 90.00
_cell_angle_gamma 90.00
loop_
_atom_site_label
_atom_site_type_symbol
_atom_site_fract_x
_atom_site_fract_y
_atom_site_fract_z
Hf1 Hf 0.0000 0.0000 0.0000
Mn1 Mn 0.5000 0.5000 0.5000
Se1 Se 0.0000 0.5000 0.0000
Br1 Br 0.0000 0.0000 0.5000
```


Version B
# HfMnSe2Br

A geometry-optimized HfMnSe2Br structure (PBE, Alexandria via LeMat-Bulk).

Results
The volume is 113.3 Å³/cell.

Cell and atoms, written as CIF:
```
data_HfMnSe2Br
_space_group_name_H-M_alt 'P 4/m m m'
_space_group_IT_number 123
_space_group_name_Hall '-P 4 2'
_cell_length_a 4.8878
_cell_length_b 4.8878
_cell_length_c 4.7422
_cell_angle_alpha 90.00
_cell_angle_beta 90.00
_cell_angle_gamma 90.00
loop_
_atom_site_label
_atom_site_type_symbol
_atom_site_fract_x
_atom_site_fract_y
_atom_site_fract_z
Hf1 Hf 0.0000 0.0000 0.0000
Mn1 Mn 0.5000 0.5000 0.5000
Se1 Se 0.0000 0.5000 0.5000
Br1 Br 0.5000 0.5000 0.0000
```


The calculated energies rank the structures as follows, beginning with the most stable: version A, version B.